(1)
The following is a DFT calculation (PBE) of a relaxed NpPtSe2 crystal.

It has space group R-3m (No. 166, hexagonal axes), with a = 3.6500 Å, b = 3.6500 Å, c = 25.8554 Å, α = 90.00°, β = 90.00° and γ = 120.00°. The inequivalent atoms are Np at (0.0000, 0.0000, 0.0000), Pt at (0.0000, 0.0000, 0.5000) and Se at (0.0000, 0.0000, 0.1116).

The calculation puts the volume at 298.3 Å³ per cell. For the total DFT energy (no corrections), the calculation gives -6.46 eV per atom. The value obtained for the formation energy without anion corrections is 31.8 meV per atom. For the total magnetization, the calculation gives 5.04 μB per formula unit.

(2)
The following is a DFT calculation (PBE) of a relaxed Li2IrCl crystal.

It has space group Immm (No. 71), with a = 2.972 Å, b = 4.796 Å, c = 8.150 Å, α = 90.00°, β = 90.00° and γ = 90.00°. The inequivalent atoms are Li at (0.000, 0.000, 0.223), Ir at (0.000, 0.500, 0.000) and Cl at (0.000, 0.500, 0.500).

The calculation puts the volume at 116.2 Å³ per cell. For the total DFT energy (no corrections), the calculation gives -3.68 eV per atom. The value obtained for the formation energy without anion corrections is -47.9 meV per atom. For the total magnetization, the calculation gives 0.00 μB per formula unit. The excess energy over the best structure of this formula in the dataset is 0.535 eV/atom.

(3)
The following is a DFT calculation (PBE) of a relaxed Er2RuPb2 crystal.

It has space group I4/mmm (No. 139), with a = 3.429 Å, b = 3.429 Å, c = 21.895 Å, α = 90.00°, β = 90.00° and γ = 90.00°. The inequivalent atoms are Er at (0.000, 0.000, 0.074), Ru at (0.000, 0.000, 0.500) and Pb at (0.000, 0.000, 0.310).

The calculation puts the volume at 257.4 Å³ per cell. The formation energy comes out at -0.31 eV/atom. For the total DFT energy (no corrections), the calculation gives -5.48 eV per atom. For the total magnetization, the calculation gives 0.00 μB per formula unit.

(4)
The following is a DFT calculation (PBE) of a relaxed LiAcDyTm crystal.

It has space group F-43m (No. 216), with a = 8.012 Å, b = 8.012 Å, c = 8.012 Å, α = 90.00°, β = 90.00° and γ = 90.00°. The inequivalent atoms are Li at (0.000, 0.000, 0.000), Ac at (0.250, 0.250, 0.250), Dy at (0.250, 0.250, 0.750) and Tm at (0.000, 0.000, 0.500).

The calculation puts the volume at 514.3 Å³ per cell. The formation energy comes out at 0.17 eV/atom. For the total DFT energy (no corrections), the calculation gives -3.61 eV per atom. For the total magnetization, the calculation gives 0.00 μB per formula unit.

(5)
The following is a DFT calculation (PBE) of a relaxed Ge2RhAu2 crystal.

It has space group P4/mbm (No. 127), with a = 7.292 Å, b = 7.292 Å, c = 3.366 Å, α = 90.00°, β = 90.00° and γ = 90.00°. The inequivalent atoms are Ge at (0.174, 0.326, 0.000), Rh at (0.000, 0.000, 0.500) and Au at (0.136, 0.636, 0.500).

The calculation puts the volume at 179.0 Å³ per cell. The formation energy comes out at 0.23 eV/atom. For the total DFT energy (no corrections), the calculation gives -4.40 eV per atom. For the total magnetization, the calculation gives 0.00 μB per formula unit. The excess energy over the best structure of this formula in the dataset is 0.195 eV/atom.

(6)
The following is a DFT calculation (PBE) of a relaxed Ce2SeI2N crystal.

It has space group Pmc2_1 (No. 26), with a = 4.103 Å, b = 12.065 Å, c = 7.863 Å, α = 90.00°, β = 90.00° and γ = 90.00°. The inequivalent atoms are Ce at (0.000, 0.054, 0.000), Ce at (0.500, 0.197, 0.405), Se at (0.500, 0.055, 0.711), I at (0.000, 0.383, 0.528), I at (0.500, 0.274, 0.025) and N at (0.000, 0.112, 0.381).

The calculation puts the volume at 389.2 Å³ per cell. For the total DFT energy (no corrections), the calculation gives -5.97 eV per atom. The value obtained for the formation energy without anion corrections is -1505.6 meV per atom. For the total magnetization, the calculation gives 1.07 μB per formula unit.

(7)
The following is a DFT calculation (PBE) of a relaxed Tl4CdCl crystal.

It has space group F-43m (No. 216), with a = 9.176 Å, b = 9.176 Å, c = 9.176 Å, α = 90.00°, β = 90.00° and γ = 90.00°. The inequivalent atoms are Tl at (0.125, 0.125, 0.125), Cd at (0.250, 0.250, 0.750) and Cl at (0.000, 0.000, 0.500).

The calculation puts the volume at 772.7 Å³ per cell. For the total DFT energy (no corrections), the calculation gives -2.08 eV per atom. The value obtained for the formation energy without anion corrections is -45.9 meV per atom. For the total magnetization, the calculation gives 0.00 μB per formula unit.

(8)
The following is a DFT calculation (PBE) of a relaxed TbTmH4 crystal.

It has space group I4_1/amd (No. 141, origin choice 2), with a = 5.130 Å, b = 5.130 Å, c = 10.352 Å, α = 90.00°, β = 90.00° and γ = 90.00°. The inequivalent atoms are Tb at (0.000, 0.250, 0.375), Tm at (0.000, 0.250, 0.875) and H at (0.243, 0.000, 0.000).

The calculation puts the volume at 272.4 Å³ per cell. For the total DFT energy (no corrections), the calculation gives -4.46 eV per atom. For the total magnetization, the calculation gives 0.00 μB per formula unit.

(9)
The following is a DFT calculation (PBE) of a relaxed Rb3Ce2PdSe6 crystal.

It has space group C2/m (No. 12), with a = 7.761 Å, b = 12.258 Å, c = 8.502 Å, α = 90.00°, β = 110.18° and γ = 90.00°. The inequivalent atoms are Rb at (0.000, 0.000, 0.000), Rb at (0.000, 0.330, 0.000), Ce at (0.000, 0.167, 0.500), Pd at (0.000, 0.500, 0.500), Se at (0.203, 0.000, 0.722) and Se at (0.217, 0.349, 0.677).

The calculation puts the volume at 759.3 Å³ per cell. For the total DFT energy (no corrections), the calculation gives -4.68 eV per atom. The value obtained for the formation energy without anion corrections is -1278.6 meV per atom. For the total magnetization, the calculation gives 1.07 μB per formula unit.

(10)
The following is a DFT calculation (PBE) of a relaxed CaOsS2 crystal.

It has space group R-3m (No. 166, hexagonal axes), with a = 3.7372 Å, b = 3.7372 Å, c = 22.6526 Å, α = 90.00°, β = 90.00° and γ = 120.00°. The inequivalent atoms are Ca at (0.0000, 0.0000, 0.0000), Os at (0.0000, 0.0000, 0.5000) and S at (0.0000, 0.0000, 0.1192).

The calculation puts the volume at 274.0 Å³ per cell. For the total DFT energy (no corrections), the calculation gives -5.62 eV per atom. The value obtained for the formation energy without anion corrections is -249.2 meV per atom. For the total magnetization, the calculation gives 0.00 μB per formula unit. The excess energy over the best structure of this formula in the dataset is 0.326 eV/atom.

(11)
The following is a DFT calculation (PBE) of a relaxed HoNpTl2S4 crystal.

It has space group P2/m (No. 10), with a = 7.004 Å, b = 4.045 Å, c = 7.876 Å, α = 90.00°, β = 107.32° and γ = 90.00°. The inequivalent atoms are Ho at (0.000, 0.000, 0.000), Np at (0.500, 0.500, 0.000), Tl at (0.000, 0.500, 0.500), Tl at (0.500, 0.000, 0.500), S at (0.229, 0.500, 0.197) and S at (0.267, 0.000, 0.805).

The calculation puts the volume at 213.0 Å³ per cell. For the total DFT energy (no corrections), the calculation gives -6.09 eV per atom. The value obtained for the formation energy without anion corrections is -1242.3 meV per atom. For the total magnetization, the calculation gives 4.00 μB per formula unit.

(12)
The following is a DFT calculation (PBE) of a relaxed Pr12Dy7Y crystal.

It has space group R-3 (No. 148, hexagonal axes), with a = 19.7428 Å, b = 19.7428 Å, c = 6.2977 Å, α = 90.00°, β = 90.00° and γ = 120.00°. The inequivalent atoms are Pr at (0.9998, 0.4116, 0.9996), Pr at (0.0983, 0.5488, 0.4656), Dy at (0.0000, 0.0000, 0.0000), Dy at (0.0814, 0.1636, 0.2937) and Y at (0.0000, 0.0000, 0.5000).

The calculation puts the volume at 2125.8 Å³ per cell. The formation energy comes out at 0.22 eV/atom. For the total DFT energy (no corrections), the calculation gives -4.58 eV per atom. For the total magnetization, the calculation gives 0.00 μB per formula unit. The excess energy over the best structure of this formula in the dataset is 0.000 eV/atom.

Copy entry 2 word for word.
The following is a DFT calculation (PBE) of a relaxed Li2IrCl crystal.

It has space group Immm (No. 71), with a = 2.972 Å, b = 4.796 Å, c = 8.150 Å, α = 90.00°, β = 90.00° and γ = 90.00°. The inequivalent atoms are Li at (0.000, 0.000, 0.223), Ir at (0.000, 0.500, 0.000) and Cl at (0.000, 0.500, 0.500).

The calculation puts the volume at 116.2 Å³ per cell. For the total DFT energy (no corrections), the calculation gives -3.68 eV per atom. The value obtained for the formation energy without anion corrections is -47.9 meV per atom. For the total magnetization, the calculation gives 0.00 μB per formula unit. The excess energy over the best structure of this formula in the dataset is 0.535 eV/atom.